Entry 1:
VASP calculation (PBE-GGA) on an optimized crystal structure of AlTeIr2Cl.

The structure in POSCAR format:
```
AlTeIr2Cl
1.0
4.595 0.000 0.000
0.000 4.595 0.000
0.000 0.000 5.316
Al Te Ir Cl
1 1 2 1
direct
0.000 0.000 0.000
0.000 0.000 0.500
0.000 0.500 0.000
0.500 0.000 0.000
0.500 0.500 0.500
```

energy: -0.3010 Ry/atom
crystal system: tetragonal
energy relative to the elements, uncorrected: 1.20 eV per atom

=====

Entry 2:
VASP calculation (PBE-GGA) on an optimized crystal structure of BaScTe2.

The structure in POSCAR format:
```
BaScTe2
1.0
4.298 0.000 0.000
0.000 4.258 0.000
0.000 0.000 15.849
Ba Sc Te
2 2 4
direct
0.000 0.000 0.000
0.000 0.500 0.500
0.500 0.000 0.227
0.500 0.500 0.727
0.000 0.000 0.688
0.000 0.500 0.188
0.500 0.000 0.402
0.500 0.500 0.902
```

energy: -0.3536 Ry/atom
crystal system: orthorhombic
energy relative to the elements, uncorrected: -1.18 eV per atom

=====

Entry 3:
VASP calculation (PBE-GGA) on an optimized crystal structure of La4MgSn12.

The structure in POSCAR format:
```
La4MgSn12
1.0
-4.902 4.902 4.902
4.902 -4.902 4.902
4.902 4.902 -4.902
La Mg Sn
4 1 12
direct
0.000 0.000 0.500
0.000 0.500 0.000
0.500 0.000 0.000
0.500 0.500 0.500
0.000 0.000 0.000
0.000 0.291 0.291
0.000 0.709 0.709
0.250 0.500 0.750
0.250 0.750 0.500
0.291 0.000 0.291
0.291 0.291 0.000
0.500 0.250 0.750
0.500 0.750 0.250
0.709 0.000 0.709
0.709 0.709 0.000
0.750 0.250 0.500
0.750 0.500 0.250
```

energy: -0.3367 Ry/atom
energy of formation: -8.53 eV per formula unit
crystal system: cubic